CdAg8Pd2 GGA-PBE relaxed; spin magnetization = 0.0 μB/cell; N(E_F) = 0.305 states/eV per atom; total DFT energy (no corrections) = -34.52 eV/cell; excess energy over the best structure of this formula in the dataset = 0.000 eV per atom
1.0
7.437 -2.058 0.000
7.437 2.058 0.000
-1.767 0.000 6.306
Cd Ag Pd
1 8 2
direct
0.000 0.000 0.000
0.095 0.095 0.460
0.184 0.184 0.911
0.361 0.361 0.809
0.452 0.452 0.274
0.548 0.548 0.726
0.639 0.639 0.191
0.816 0.816 0.089
0.905 0.905 0.540
0.272 0.272 0.364
0.728 0.728 0.636